No. 1
The following is a PBE calculation of Be2PAu after structural relaxation, from the Alexandria database.

```
4
Lattice="1.4381 0.8303 7.0361 -1.4381 0.8303 7.0361 0.0000 -1.6605 7.0361" Properties=species:S:1:pos:R:3 pbc="T T T"
Be 0.0000 0.0000 5.1621
Be 0.0000 0.0000 15.9463
P 0.0000 0.0000 10.5542
Au 0.0000 0.0000 0.0000
```

DFT formation energy ... 155 meV/atom
Total DFT energy (no corrections) ... -3.880 eV/atom
DOS(E_F) ... 1.5 states/eV/f.u.

***

No. 2
The following is a PBE calculation of BaSc2P after structural relaxation, from the Alexandria database.

```
4
Lattice="0.0000 3.7061 3.7061 3.7061 0.0000 3.7061 3.7061 3.7061 0.0000" Properties=species:S:1:pos:R:3 pbc="T T T"
Ba 0.0000 0.0000 0.0000
Sc 3.7061 3.7061 3.7061
Sc 5.5591 5.5591 5.5591
P 1.8530 1.8530 1.8530
```

DFT formation energy ... 139 meV/atom
Total DFT energy (no corrections) ... -4.859 eV/atom
DOS(E_F) ... 5.3 states/eV/f.u.

***

No. 3
The following is a PBE calculation of K2MgSi2Se6 after structural relaxation, from the Alexandria database.

```
11
Lattice="3.6379 2.1003 7.7329 -3.6379 2.1003 7.7329 0.0000 -4.2006 7.7329" Properties=species:S:1:pos:R:3 pbc="T T T"
K 0.0000 0.0000 5.1683
K 0.0000 0.0000 18.0304
Mg 0.0000 0.0000 0.0000
Si 0.0000 0.0000 9.4617
Si 0.0000 0.0000 13.7370
Se -1.8935 -1.0932 13.5437
Se 0.0000 -2.1865 9.6550
Se -1.8935 1.0932 9.6550
Se 1.8935 -1.0932 13.5437
Se 0.0000 2.1865 13.5437
Se 1.8935 1.0932 9.6550
```

ΔE_f (raw) ... -66 kJ per mole of atoms
Total DFT energy (no corrections) ... -3.916 eV/atom
DOS(E_F) ... 0.5 states/eV/f.u.

***

No. 4
The following is a PBE calculation of NdHo6In4 after structural relaxation, from the Alexandria database.

```
11
Lattice="10.0726 0.0000 0.0000 -5.0363 8.7231 0.0000 0.0000 0.0000 3.7192" Properties=species:S:1:pos:R:3 pbc="T T T"
Nd 0.0000 0.0000 0.0000
Ho 0.0000 3.3302 1.8596
Ho -2.1522 7.0580 1.8596
Ho 5.0363 0.6524 0.0000
Ho 3.0831 4.0354 0.0000
Ho 2.1522 7.0580 1.8596
Ho 6.9894 4.0354 0.0000
In 2.4730 1.4278 1.8596
In 0.0000 5.8154 0.0000
In 7.5995 1.4278 1.8596
In 5.0363 5.8675 1.8596
```

DFT formation energy ... -292 meV/atom
Total DFT energy (no corrections) ... -4.218 eV/atom
DOS(E_F) ... 9.9 states/eV/f.u.

***

No. 5
The following is a PBE calculation of ThNi7Sn2As2 after structural relaxation, from the Alexandria database.

```
12
Lattice="2.6059 -3.2470 0.0000 2.6059 3.2470 0.0000 -0.7456 0.0000 12.0821" Properties=species:S:1:pos:R:3 pbc="T T T"
Th 0.0000 0.0000 0.0000
Ni 1.0488 1.2158 10.0492
Ni 1.4441 0.0000 5.0838
Ni 3.4173 1.2158 2.0329
Ni 2.6059 0.0000 0.0000
Ni 1.0488 -1.2158 10.0492
Ni 3.0220 0.0000 6.9983
Ni 3.4173 -1.2158 2.0329
Sn 0.4170 0.0000 7.4667
Sn 4.0492 0.0000 4.6155
As 1.5085 0.0000 2.7859
As 2.9576 0.0000 9.2962
```

DFT formation energy ... -156 meV/atom
Total DFT energy (no corrections) ... -5.589 eV/atom
DOS(E_F) ... 6.2 states/eV/f.u.

***

No. 6
The following is a PBE calculation of BaHo2Zr after structural relaxation, from the Alexandria database.

```
4
Lattice="1.7481 1.0093 12.3439 -1.7481 1.0093 12.3439 0.0000 -2.0186 12.3439" Properties=species:S:1:pos:R:3 pbc="T T T"
Ba 0.0000 0.0000 0.0000
Ho 0.0000 0.0000 3.5990
Ho 0.0000 0.0000 33.4326
Zr 0.0000 0.0000 18.5158
```

DFT formation energy ... 268 meV/atom
Total DFT energy (no corrections) ... -4.639 eV/atom
DOS(E_F) ... 5.7 states/eV/f.u.

***

No. 7
The following is a PBE calculation of Ba2SrCaCo after structural relaxation, from the Alexandria database.

```
5
Lattice="6.1050 0.0000 0.0000 0.0000 6.1050 0.0000 0.0000 0.0000 5.8273" Properties=species:S:1:pos:R:3 pbc="T T T"
Ba 0.0000 3.0525 0.0000
Ba 3.0525 0.0000 0.0000
Sr 0.0000 0.0000 2.9136
Ca 3.0525 3.0525 2.9136
Co 3.0525 3.0525 0.0000
```

DFT formation energy ... 208 meV/atom
Total DFT energy (no corrections) ... -2.719 eV/atom
DOS(E_F) ... 6.7 states/eV/f.u.

***

No. 8
The following is a PBE calculation of TcAg2Ru after structural relaxation, from the Alexandria database.

```
4
Lattice="-2.0159 2.0159 3.8593 2.0159 -2.0159 3.8593 2.0159 2.0159 -3.8593" Properties=species:S:1:pos:R:3 pbc="T T T"
Tc 0.0000 0.0000 0.0000
Ag 2.0159 0.0000 1.9296
Ag 0.0000 0.0000 3.8593
Ru 0.0000 2.0159 1.9296
```

DFT formation energy ... 601 meV/atom
Distance to the lowest polymorph of the same formula ... 370 meV per atom
Total DFT energy (no corrections) ... -5.735 eV/atom
DOS(E_F) ... 3.7 states/eV/f.u.

***

No. 9
The following is a PBE calculation of Tb2PmMgHg4 after structural relaxation, from the Alexandria database.

```
8
Lattice="2.5824 1.4910 8.7782 -2.5824 1.4910 8.7782 0.0000 -2.9819 8.7782" Properties=species:S:1:pos:R:3 pbc="T T T"
Tb 0.0000 0.0000 6.4147
Tb 0.0000 0.0000 19.9200
Pm 0.0000 0.0000 0.0000
Mg 0.0000 0.0000 13.1674
Hg 0.0000 0.0000 3.3099
Hg 0.0000 0.0000 9.9437
Hg 0.0000 0.0000 16.3910
Hg 0.0000 0.0000 23.0248
```

DFT formation energy ... -454 meV/atom
Total DFT energy (no corrections) ... -2.556 eV/atom
DOS(E_F) ... 5.8 states/eV/f.u.

***

No. 10
The following is a PBE calculation of Ba6TeSe2I3 after structural relaxation, from the Alexandria database.

```
12
Lattice="4.1966 -7.2605 0.0000 4.1966 7.2605 0.0000 -2.7976 0.0000 8.1833" Properties=species:S:1:pos:R:3 pbc="T T T"
Ba -0.0500 2.5029 6.3948
Ba 1.2993 0.0000 1.7680
Ba -0.0500 -2.5029 6.3948
Ba 5.6456 2.5029 1.7885
Ba 4.2964 0.0000 6.4153
Ba 5.6456 -2.5029 1.7885
Te 4.1966 0.0000 0.0000
Se 4.1966 4.8333 0.0000
Se 4.1966 -4.8333 0.0000
I -1.3988 0.0000 4.0917
I 2.7978 2.3575 4.0917
I 2.7978 -2.3575 4.0917
```

ΔE_f (raw) ... -160 kJ per mole of atoms
Total DFT energy (no corrections) ... -3.854 eV/atom
DOS(E_F) ... 5.9 states/eV/f.u.

***

No. 11
The following is a PBE calculation of GdTh2 after structural relaxation, from the Alexandria database.

```
6
Lattice="0.0000 4.6963 4.6963 4.6963 0.0000 4.6963 4.6963 4.6963 0.0000" Properties=species:S:1:pos:R:3 pbc="T T T"
Gd 1.1741 1.1741 1.1741
Gd 8.2185 8.2185 8.2185
Th 4.6963 2.3481 2.3481
Th 2.3481 4.6963 2.3481
Th 2.3481 2.3481 4.6963
Th 4.6963 4.6963 4.6963
```

DFT formation energy ... 259 meV/atom
Distance to the lowest polymorph of the same formula ... 212 meV per atom
Total DFT energy (no corrections) ... -9.381 eV/atom
DOS(E_F) ... 5.8 states/eV/f.u.

***

No. 12
The following is a PBE calculation of Tb3Sb5O12 after structural relaxation, from the Alexandria database.

```
40
Lattice="-5.4588 5.4588 5.4588 5.4588 -5.4588 5.4588 5.4588 5.4588 -5.4588" Properties=species:S:1:pos:R:3 pbc="T T T"
Tb 5.4588 2.7294 0.0000
Tb 5.4588 0.0000 2.7294
Tb 2.7294 5.4588 0.0000
Tb 2.7294 0.0000 5.4588
Tb 0.0000 5.4588 2.7294
Tb 0.0000 2.7294 5.4588
Sb 2.6564 2.6564 -2.6564
Sb 3.0846 0.0000 0.0000
Sb 2.6564 -2.6564 2.6564
Sb 7.8330 0.0000 0.0000
Sb 0.0000 3.0846 0.0000
Sb 0.0000 0.0000 3.0846
Sb -2.6564 2.6564 2.6564
Sb 2.8023 2.8023 2.8023
Sb 0.0000 7.8330 0.0000
Sb 0.0000 0.0000 7.8330
O 4.3203 1.1023 -1.1023
O 4.3203 -1.1023 1.1023
O 7.2113 1.5112 -1.5112
O 7.2113 -1.5112 1.5112
O 3.9475 3.9475 -1.7525
O 3.9475 -1.7525 3.9475
O 6.5973 1.1023 1.1023
O 3.7063 1.5112 1.5112
O 1.1023 4.3203 -1.1023
O 1.1023 -1.1023 4.3203
O 1.5112 3.7063 1.5112
O 1.5112 1.5112 3.7063
O -1.1023 4.3203 1.1023
O -1.1023 1.1023 4.3203
O 4.3564 4.3564 1.1385
O 4.3564 1.1385 4.3564
O 1.5112 7.2113 -1.5112
O 1.5112 -1.5112 7.2113
O 1.1023 6.5973 1.1023
O 1.1023 1.1023 6.5973
O -1.7525 3.9475 3.9475
O 1.1385 4.3564 4.3564
O -1.5112 7.2113 1.5112
O -1.5112 1.5112 7.2113
```

ΔE_f (raw) ... -216 kJ per mole of atoms
Total DFT energy (no corrections) ... -6.944 eV/atom
DOS(E_F) ... 0.0 states/eV/f.u.